# GGA-PBEsol YZnRe2, relaxed
data_YZnRe2
_cell_length_a 3.862
_cell_length_b 3.862
_cell_length_c 4.480
_cell_angle_alpha 90.00
_cell_angle_beta 90.00
_cell_angle_gamma 90.00
_space_group_name_H-M_alt 'P 4/m m m'
_space_group_IT_number 123
_space_group_name_Hall '-P 4 2'
loop_
_atom_site_label
_atom_site_type_symbol
_atom_site_fract_x
_atom_site_fract_y
_atom_site_fract_z
Y1 Y 0.000 0.000 0.000
Zn1 Zn 0.500 0.500 0.000
Re1 Re 0.000 0.500 0.500
# calculated formation energy: 1.48 eV per formula unit
# N(E_F): 3.28 states/eV per cell

# GGA-PBEsol Cd8As, relaxed
data_Cd8As
_cell_length_a 9.261
_cell_length_b 9.261
_cell_length_c 4.358
_cell_angle_alpha 90.00
_cell_angle_beta 90.00
_cell_angle_gamma 90.00
_space_group_name_H-M_alt 'I 4/m m m'
_space_group_IT_number 139
_space_group_name_Hall '-I 4 2'
loop_
_atom_site_label
_atom_site_type_symbol
_atom_site_fract_x
_atom_site_fract_y
_atom_site_fract_z
Cd1 Cd 0.000 0.333 0.000
Cd2 Cd 0.167 0.167 0.500
As1 As 0.000 0.000 0.000
# calculated formation energy: 0.44 eV per formula unit
# N(E_F): 6.91 states/eV per cell

# GGA-PBEsol SrTiS2, relaxed
data_SrTiS2
_cell_length_a 3.5995
_cell_length_b 3.5995
_cell_length_c 25.2546
_cell_angle_alpha 90.00
_cell_angle_beta 90.00
_cell_angle_gamma 120.00
_space_group_name_H-M_alt 'R -3 m'
_space_group_IT_number 166
_space_group_name_Hall '-R 3 2"'
loop_
_atom_site_label
_atom_site_type_symbol
_atom_site_fract_x
_atom_site_fract_y
_atom_site_fract_z
Sr1 Sr 0.0000 0.0000 0.0000
Ti1 Ti 0.0000 0.0000 0.5000
S1 S 0.0000 0.0000 0.1130
# uncorrected formation energy: -1.120 eV/atom
# N(E_F): 11.84 states/eV per cell